# 1
Below is a relaxed Ho2TmScSe5 crystal, with properties calculated at the PBE level.

Unit cell a=5.0714 b=5.0714 c=10.2447 alpha=90.00 beta=90.00 gamma=90.00
Last column: nearest neighbours and their distance in Å.
Positions (direct):
1 Ho 0.0000 0.0000 0.2100  5 Se 2.97-3.33
2 Ho 0.0000 0.0000 0.7900  5 Se 2.97-3.33
3 Tm 0.5000 0.5000 0.0000  6 Se 2.54-2.67
4 Sc 0.5000 0.5000 0.5000  2 Se 2.45
5 Se 0.0000 0.0000 0.5000  2 Ho 2.97
6 Se 0.0000 0.5000 0.0000  2 Tm 2.54
7 Se 0.5000 0.0000 0.0000  2 Tm 2.54
8 Se 0.5000 0.5000 0.2610  1 Sc 2.45, 1 Tm 2.67
9 Se 0.5000 0.5000 0.7390  1 Sc 2.45, 1 Tm 2.67

Properties
As for the total magnetization: 0.0 μB/f.u. As for the crystal system: tetragonal. The calculation puts the mass density at 5.9 g/cm3. Its symmetry is No. 123. Its energy relative to the elements, uncorrected is -24.4 kcal/mol of atoms.


# 2
Below is a relaxed HoTmSc2Se4 crystal, with properties calculated at the PBE level.

Unit cell a=6.8543 b=3.9326 c=6.8849 alpha=90.00 beta=109.15 gamma=90.00
Last column: nearest neighbours and their distance in Å.
Positions (direct):
1 Ho 0.0000 0.0000 0.0000  6 Se 2.85
2 Tm 0.0000 0.5000 0.5000  6 Se 2.83-2.84
3 Sc 0.5000 0.0000 0.5000  6 Se 2.75
4 Sc 0.5000 0.5000 0.0000  6 Se 2.76
5 Se 0.2609 0.0000 0.7518  3 Sc 2.75-2.76, 2 Tm 2.83, 1 Ho 2.85
6 Se 0.2622 0.5000 0.2559  3 Sc 2.75-2.76, 1 Tm 2.84, 2 Ho 2.85
7 Se 0.7378 0.5000 0.7441  3 Sc 2.75-2.76, 1 Tm 2.84, 2 Ho 2.85
8 Se 0.7391 0.0000 0.2482  3 Sc 2.75-2.76, 2 Tm 2.83, 1 Ho 2.85

Properties
As for the total magnetization: 0.0 μB/f.u. As for the crystal system: monoclinic. The calculation puts the mass density at 7.0 g/cm3. Its symmetry is No. 10. Its energy relative to the elements, uncorrected is -37.8 kcal/mol of atoms.


# 3
Below is a relaxed HoTm3Sc2Se6 crystal, with properties calculated at the PBE level.

Unit cell a=8.8839 b=8.8839 c=7.9799 alpha=102.88 beta=102.88 gamma=25.85
Last column: nearest neighbours and their distance in Å.
Positions (direct):
1 Ho 0.0000 0.0000 0.0000  6 Se 2.83-2.85
2 Tm 0.0000 0.0000 0.5000  6 Se 2.80-2.85
3 Tm 0.3360 0.3360 0.1692  6 Se 2.81-2.86
4 Tm 0.6640 0.6640 0.8308  6 Se 2.81-2.86
5 Sc 0.3334 0.3334 0.6662  6 Se 2.75-2.79
6 Sc 0.6666 0.6666 0.3338  6 Se 2.75-2.79
7 Se 0.1690 0.1690 0.0903  2 Sc 2.79, 3 Tm 2.81-2.86, 1 Ho 2.85
8 Se 0.1691 0.1691 0.5780  3 Sc 2.77-2.78, 3 Tm 2.85
9 Se 0.4964 0.4964 0.7456  1 Sc 2.75, 3 Tm 2.80-2.83, 2 Ho 2.83
10 Se 0.5036 0.5036 0.2544  1 Sc 2.75, 3 Tm 2.80-2.83, 2 Ho 2.83
11 Se 0.8309 0.8309 0.4220  3 Sc 2.77-2.78, 3 Tm 2.85
12 Se 0.8310 0.8310 0.9097  2 Sc 2.79, 3 Tm 2.81-2.86, 1 Ho 2.85

Properties
As for the total magnetization: 0.0 μB/f.u. As for the crystal system: monoclinic. The calculation puts the mass density at 7.7 g/cm3. Its symmetry is No. 12. Its energy relative to the elements, uncorrected is -37.9 kcal/mol of atoms.


# 4
Below is a relaxed YHo3Sc2Se6 crystal, with properties calculated at the PBE level.

Unit cell a=6.9377 b=6.9377 c=6.9410 alpha=99.54 beta=99.54 gamma=120.22
Last column: nearest neighbours and their distance in Å.
Positions (direct):
1 Y 0.0000 0.0000 0.0000  6 Se 2.84-2.87
2 Ho 0.1605 0.8395 0.5000  6 Se 2.85-2.88
3 Ho 0.5000 0.5000 0.5000  6 Se 2.82-2.89
4 Ho 0.8395 0.1605 0.5000  6 Se 2.85-2.88
5 Sc 0.3351 0.6649 0.0000  6 Se 2.75-2.79
6 Sc 0.6649 0.3351 0.0000  6 Se 2.75-2.79
7 Se 0.0807 0.4248 0.2436  2 Sc 2.78-2.79, 3 Ho 2.85-2.89, 1 Y 2.87
8 Se 0.2638 0.2638 0.7612  2 Sc 2.75, 3 Ho 2.82-2.85, 1 Y 2.84
9 Se 0.4248 0.0807 0.2436  2 Sc 2.78-2.79, 3 Ho 2.85-2.89, 1 Y 2.87
10 Se 0.5752 0.9193 0.7564  2 Sc 2.78-2.79, 3 Ho 2.85-2.89, 1 Y 2.87
11 Se 0.7362 0.7362 0.2388  2 Sc 2.75, 3 Ho 2.82-2.85, 1 Y 2.84
12 Se 0.9193 0.5752 0.7564  2 Sc 2.78-2.79, 3 Ho 2.85-2.89, 1 Y 2.87

Properties
As for the total magnetization: 0.0 μB/f.u. As for the crystal system: monoclinic. The calculation puts the mass density at 7.0 g/cm3. Its symmetry is No. 12. Its energy relative to the elements, uncorrected is -38.7 kcal/mol of atoms.


# 5
Below is a relaxed YHoSc2Se6 crystal, with properties calculated at the PBE level.

Unit cell a=7.4724 b=7.4724 c=7.4724 alpha=55.80 beta=55.80 gamma=55.80
Last column: nearest neighbours and their distance in Å.
Positions (direct):
1 Y 0.0000 0.0000 0.0000  6 Se 2.84-2.90
2 Ho 0.4995 0.4995 0.4995  6 Se 2.83-2.88
3 Sc 0.3061 0.3061 0.3061  6 Se 2.70-2.76
4 Sc 0.8064 0.8064 0.8064  6 Se 2.70-2.76
5 Se 0.0777 0.4248 0.6906  2 Sc 2.70-2.76, 1 Y 2.84, 1 Ho 2.88
6 Se 0.1928 0.9226 0.5768  2 Sc 2.70-2.76, 1 Ho 2.83, 1 Y 2.90
7 Se 0.4248 0.6906 0.0777  2 Sc 2.70-2.76, 1 Y 2.84, 1 Ho 2.88
8 Se 0.5768 0.1928 0.9226  2 Sc 2.70-2.76, 1 Ho 2.83, 1 Y 2.90
9 Se 0.6906 0.0777 0.4248  2 Sc 2.70-2.76, 1 Y 2.84, 1 Ho 2.88
10 Se 0.9226 0.5768 0.1928  2 Sc 2.70-2.76, 1 Ho 2.83, 1 Y 2.90

Properties
As for the total magnetization: 0.0 μB/f.u. As for the crystal system: trigonal. The calculation puts the mass density at 5.1 g/cm3. Its symmetry is No. 146. Its energy relative to the elements, uncorrected is -40.4 kcal/mol of atoms.


# 6
Below is a relaxed YHo2Sc3Se6 crystal, with properties calculated at the PBE level.

Unit cell a=6.8781 b=6.8781 c=6.8953 alpha=99.52 beta=99.52 gamma=120.25
Last column: nearest neighbours and their distance in Å.
Positions (direct):
1 Y 0.0000 0.0000 0.0000  6 Se 2.87-2.88
2 Ho 0.3336 0.6664 0.0000  6 Se 2.85-2.86
3 Ho 0.6664 0.3336 0.0000  6 Se 2.85-2.86
4 Sc 0.1645 0.8355 0.5000  6 Se 2.75-2.76
5 Sc 0.5000 0.5000 0.5000  6 Se 2.74-2.76
6 Sc 0.8355 0.1645 0.5000  6 Se 2.75-2.76
7 Se 0.0882 0.4238 0.2648  3 Sc 2.76, 2 Ho 2.86, 1 Y 2.88
8 Se 0.2475 0.2475 0.7365  3 Sc 2.74-2.75, 2 Ho 2.85, 1 Y 2.87
9 Se 0.4238 0.0882 0.2648  3 Sc 2.76, 2 Ho 2.86, 1 Y 2.88
10 Se 0.5762 0.9118 0.7352  3 Sc 2.76, 2 Ho 2.86, 1 Y 2.88
11 Se 0.7525 0.7525 0.2635  3 Sc 2.74-2.75, 2 Ho 2.85, 1 Y 2.87
12 Se 0.9118 0.5762 0.7352  3 Sc 2.76, 2 Ho 2.86, 1 Y 2.88

Properties
As for the total magnetization: 0.0 μB/f.u. As for the crystal system: monoclinic. The calculation puts the mass density at 6.4 g/cm3. Its symmetry is No. 12. Its energy relative to the elements, uncorrected is -38.3 kcal/mol of atoms.


Number 5 is which compound? YHoSc2Se6


What did the fifth record say?
Below is a relaxed YHoSc2Se6 crystal, with properties calculated at the PBE level.

Unit cell a=7.4724 b=7.4724 c=7.4724 alpha=55.80 beta=55.80 gamma=55.80
Last column: nearest neighbours and their distance in Å.
Positions (direct):
1 Y 0.0000 0.0000 0.0000  6 Se 2.84-2.90
2 Ho 0.4995 0.4995 0.4995  6 Se 2.83-2.88
3 Sc 0.3061 0.3061 0.3061  6 Se 2.70-2.76
4 Sc 0.8064 0.8064 0.8064  6 Se 2.70-2.76
5 Se 0.0777 0.4248 0.6906  2 Sc 2.70-2.76, 1 Y 2.84, 1 Ho 2.88
6 Se 0.1928 0.9226 0.5768  2 Sc 2.70-2.76, 1 Ho 2.83, 1 Y 2.90
7 Se 0.4248 0.6906 0.0777  2 Sc 2.70-2.76, 1 Y 2.84, 1 Ho 2.88
8 Se 0.5768 0.1928 0.9226  2 Sc 2.70-2.76, 1 Ho 2.83, 1 Y 2.90
9 Se 0.6906 0.0777 0.4248  2 Sc 2.70-2.76, 1 Y 2.84, 1 Ho 2.88
10 Se 0.9226 0.5768 0.1928  2 Sc 2.70-2.76, 1 Ho 2.83, 1 Y 2.90

Properties
As for the total magnetization: 0.0 μB/f.u. As for the crystal system: trigonal. The calculation puts the mass density at 5.1 g/cm3. Its symmetry is No. 146. Its energy relative to the elements, uncorrected is -40.4 kcal/mol of atoms.


The lowest energy relative to the elements, uncorrected belongs to which entry? YHoSc2Se6


Among the records above, which one has the highest energy relative to the elements, uncorrected? Ho2TmScSe5